# 1
# Th2RhSe PBE-GGA optimized geometry
data_Th2RhSe
_chemical_formula_sum 'Th6 Rh3 Se3'
_space_group_name_H-M_alt 'R 3 m'
_space_group_IT_number 160
_space_group_name_Hall 'R 3 -2"'
_cell_length_a 4.0678
_cell_length_b 4.0678
_cell_length_c 22.6171
_cell_angle_alpha 90.00
_cell_angle_beta 90.00
_cell_angle_gamma 120.00
loop_
_atom_site_label
_atom_site_type_symbol
_atom_site_fract_x
_atom_site_fract_y
_atom_site_fract_z
Th1 Th 0.0000 0.0000 0.0000
Th2 Th 0.0000 0.0000 0.1883
Rh1 Rh 0.0000 0.0000 0.5926
Se1 Se 0.0000 0.0000 0.7616
# **Total magnetic moment**: 0.00 μB/f.u.
# **Offset from the most stable computed form**: 53 meV/atom

---

# 2
# Zr2CuAuI PBE-GGA optimized geometry
data_Zr2CuAuI
_chemical_formula_sum 'Zr2 Cu1 Au1 I1'
_space_group_name_H-M_alt 'P 4/m m m'
_space_group_IT_number 123
_space_group_name_Hall '-P 4 2'
_cell_length_a 5.2671
_cell_length_b 5.2671
_cell_length_c 4.7718
_cell_angle_alpha 90.00
_cell_angle_beta 90.00
_cell_angle_gamma 90.00
loop_
_atom_site_label
_atom_site_type_symbol
_atom_site_fract_x
_atom_site_fract_y
_atom_site_fract_z
Zr1 Zr 0.0000 0.5000 0.0000
Cu1 Cu 0.0000 0.0000 0.5000
Au1 Au 0.0000 0.0000 0.0000
I1 I 0.5000 0.5000 0.5000
# **Total magnetic moment**: 0.59 μB/f.u.
# **Total DFT energy (no corrections)**: -4.691 eV/atom

---

# 3
# NaZnF2 PBE-GGA optimized geometry
data_NaZnF2
_chemical_formula_sum 'Na4 Zn4 F8'
_space_group_name_H-M_alt 'F m -3 m'
_space_group_IT_number 225
_space_group_name_Hall '-F 4 2 3'
_cell_length_a 5.9244
_cell_length_b 5.9244
_cell_length_c 5.9244
_cell_angle_alpha 90.00
_cell_angle_beta 90.00
_cell_angle_gamma 90.00
loop_
_atom_site_label
_atom_site_type_symbol
_atom_site_fract_x
_atom_site_fract_y
_atom_site_fract_z
Na1 Na 0.0000 0.0000 0.0000
Zn1 Zn 0.0000 0.0000 0.5000
F1 F 0.2500 0.2500 0.2500
# **Total magnetic moment**: 0.00 μB/f.u.
# **Offset from the most stable computed form**: 307 meV/atom

---

# 4
# Nd12Bi5Rh2 PBE-GGA optimized geometry
data_Nd12Bi5Rh2
_chemical_formula_sum 'Nd24 Bi10 Rh4'
_space_group_name_H-M_alt 'C 1 2/m 1'
_space_group_IT_number 12
_space_group_name_Hall '-C 2y'
_cell_length_a 18.2046
_cell_length_b 7.7895
_cell_length_c 9.9683
_cell_angle_alpha 90.00
_cell_angle_beta 106.09
_cell_angle_gamma 90.00
loop_
_atom_site_label
_atom_site_type_symbol
_atom_site_fract_x
_atom_site_fract_y
_atom_site_fract_z
Nd1 Nd 0.0021 0.0000 0.3275
Nd2 Nd 0.0038 0.5000 0.7477
Nd3 Nd 0.1446 0.2523 0.0648
Nd4 Nd 0.1562 0.2584 0.5798
Bi1 Bi 0.0000 0.0000 0.0000
Bi2 Bi 0.1918 0.5000 0.3320
Bi3 Bi 0.2060 0.5000 0.8610
Rh1 Rh 0.0000 0.3011 0.5000
# **Total magnetic moment**: 0.00 μB/f.u.
# **Calculated formation energy**: -510 meV/atom

---

# 5
# LuPaSn2 PBE-GGA optimized geometry
data_LuPaSn2
_chemical_formula_sum 'Lu4 Pa4 Sn8'
_space_group_name_H-M_alt 'F m -3 m'
_space_group_IT_number 225
_space_group_name_Hall '-F 4 2 3'
_cell_length_a 7.4620
_cell_length_b 7.4620
_cell_length_c 7.4620
_cell_angle_alpha 90.00
_cell_angle_beta 90.00
_cell_angle_gamma 90.00
loop_
_atom_site_label
_atom_site_type_symbol
_atom_site_fract_x
_atom_site_fract_y
_atom_site_fract_z
Lu1 Lu 0.0000 0.0000 0.0000
Pa1 Pa 0.0000 0.0000 0.5000
Sn1 Sn 0.2500 0.2500 0.2500
# **Total magnetic moment**: 0.85 μB/f.u.
# **Calculated formation energy**: -253 meV/atom
# **Offset from the most stable computed form**: 98 meV/atom

---

# 6
# Ga2SnPPb PBE-GGA optimized geometry
data_Ga2SnPPb
_chemical_formula_sum 'Ga2 Sn1 P1 Pb1'
_space_group_name_H-M_alt 'P 4/m m m'
_space_group_IT_number 123
_space_group_name_Hall '-P 4 2'
_cell_length_a 5.3268
_cell_length_b 5.3268
_cell_length_c 5.8039
_cell_angle_alpha 90.00
_cell_angle_beta 90.00
_cell_angle_gamma 90.00
loop_
_atom_site_label
_atom_site_type_symbol
_atom_site_fract_x
_atom_site_fract_y
_atom_site_fract_z
Ga1 Ga 0.0000 0.5000 0.0000
Sn1 Sn 0.0000 0.0000 0.5000
P1 P 0.5000 0.5000 0.5000
Pb1 Pb 0.0000 0.0000 0.0000
# **Total magnetic moment**: 0.00 μB/f.u.
# **Calculated formation energy**: 991 meV/atom

---

# 7
# Ir2C PBE-GGA optimized geometry
data_Ir2C
_chemical_formula_sum 'Ir8 C4'
_space_group_name_H-M_alt 'P a -3'
_space_group_IT_number 205
_space_group_name_Hall '-P 2ac 2ab 3'
_cell_length_a 5.2534
_cell_length_b 5.2534
_cell_length_c 5.2534
_cell_angle_alpha 90.00
_cell_angle_beta 90.00
_cell_angle_gamma 90.00
loop_
_atom_site_label
_atom_site_type_symbol
_atom_site_fract_x
_atom_site_fract_y
_atom_site_fract_z
Ir1 Ir 0.1637 0.1637 0.1637
C1 C 0.0000 0.0000 0.5000
# **Total magnetic moment**: 0.00 μB/f.u.
# **Calculated formation energy**: 707 meV/atom
# **Offset from the most stable computed form**: 149 meV/atom

---

# 8
# HfCrMo2Pd PBE-GGA optimized geometry
data_HfCrMo2Pd
_chemical_formula_sum 'Hf1 Cr1 Mo2 Pd1'
_space_group_name_H-M_alt 'P 4/m m m'
_space_group_IT_number 123
_space_group_name_Hall '-P 4 2'
_cell_length_a 4.7452
_cell_length_b 4.7452
_cell_length_c 4.4472
_cell_angle_alpha 90.00
_cell_angle_beta 90.00
_cell_angle_gamma 90.00
loop_
_atom_site_label
_atom_site_type_symbol
_atom_site_fract_x
_atom_site_fract_y
_atom_site_fract_z
Hf1 Hf 0.0000 0.0000 0.0000
Cr1 Cr 0.0000 0.0000 0.5000
Mo1 Mo 0.0000 0.5000 0.0000
Pd1 Pd 0.5000 0.5000 0.5000
# **Total magnetic moment**: 0.00 μB/f.u.
# **Calculated formation energy**: 2002 meV/atom